Below is a relaxed structure of FeBiF2, with properties calculated at the PBE with a Hubbard U level.

Geometry as CIF:
```
data_FeBiF2
_chemical_formula_sum 'Fe4 Bi4 F8'
_space_group_name_H-M_alt 'I -4 2 d'
_space_group_IT_number 122
_space_group_name_Hall 'I -4 2bw'
_cell_length_a 6.0596
_cell_length_b 6.0596
_cell_length_c 9.2698
_cell_angle_alpha 90.00
_cell_angle_beta 90.00
_cell_angle_gamma 90.00
loop_
_atom_site_label
_atom_site_type_symbol
_atom_site_fract_x
_atom_site_fract_y
_atom_site_fract_z
_atom_site_occupancy
Fe1 Fe 0.0000 0.0000 0.0000 1
Bi1 Bi 0.0000 0.0000 0.5000 1
F1 F 0.0740 0.2500 0.1250 1
```

E_tot = -4.675 eV per atom
E above lowest polymorph = 24.3 meV per atom